# 1
# Mg4Tc5 | Alexandria | PBE | relaxed
# Calculated volume ... 284.5 Å³ per cell
# Density of states at the Fermi level ... 23.194 states/eV per cell
# Electronic total energy ... -5.987 eV per atom
# Energy relative to the lowest polymorph listed for this composition ... 0.202 eV per atom
data_Mg4Tc5
_chemical_formula_sum 'Mg8 Tc10'
_symmetry_space_group_name_H-M 'P 63/m c m'
_symmetry_Int_Tables_number 193
_symmetry_space_group_name_Hall '-P 6c 2'
_cell_length_a 7.9036
_cell_length_b 7.9036
_cell_length_c 5.2585
_cell_angle_alpha 90.00
_cell_angle_beta 90.00
_cell_angle_gamma 120.00
loop_
_atom_site_label
_atom_site_type_symbol
_atom_site_fract_x
_atom_site_fract_y
_atom_site_fract_z
_atom_site_occupancy
Mg1 Mg 0.0000 0.0000 0.0000 1
Mg2 Mg 0.0000 0.3198 0.2500 1
Tc1 Tc 0.0000 0.3567 0.7500 1
Tc2 Tc 0.3333 0.6667 0.0000 1



# 2
# Mg7Tc | Alexandria | PBE | relaxed
# Calculated volume ... 638.5 Å³ per cell
# Density of states at the Fermi level ... 14.721 states/eV per cell
# Electronic total energy ... -2.566 eV per atom
data_Mg7Tc
_chemical_formula_sum 'Mg28 Tc4'
_symmetry_space_group_name_H-M 'F m -3 m'
_symmetry_Int_Tables_number 225
_symmetry_space_group_name_Hall '-F 4 2 3'
_cell_length_a 8.611
_cell_length_b 8.611
_cell_length_c 8.611
_cell_angle_alpha 90.00
_cell_angle_beta 90.00
_cell_angle_gamma 90.00
loop_
_atom_site_label
_atom_site_type_symbol
_atom_site_fract_x
_atom_site_fract_y
_atom_site_fract_z
_atom_site_occupancy
Mg1 Mg 0.000 0.000 0.000 1
Mg2 Mg 0.000 0.250 0.250 1
Tc1 Tc 0.000 0.000 0.500 1



# 3
# Mg6Tc7 | Alexandria | PBE | relaxed
# Calculated volume ... 666.4 Å³ per cell
# Density of states at the Fermi level ... 30.327 states/eV per cell
# Electronic total energy ... -6.202 eV per atom
data_Mg6Tc7
_chemical_formula_sum 'Mg18 Tc21'
_symmetry_space_group_name_H-M 'R -3 m'
_symmetry_Int_Tables_number 166
_symmetry_space_group_name_Hall '-R 3 2"'
_cell_length_a 5.1893
_cell_length_b 5.1893
_cell_length_c 28.5732
_cell_angle_alpha 90.00
_cell_angle_beta 90.00
_cell_angle_gamma 120.00
loop_
_atom_site_label
_atom_site_type_symbol
_atom_site_fract_x
_atom_site_fract_y
_atom_site_fract_z
_atom_site_occupancy
Mg1 Mg 0.0000 0.0000 0.0510 1
Mg2 Mg 0.0000 0.0000 0.1515 1
Mg3 Mg 0.0000 0.0000 0.3341 1
Tc1 Tc 0.0000 0.0000 0.5000 1
Tc2 Tc 0.0058 0.5029 0.9093 1



# 4
# MgTc5 | Alexandria | PBE | relaxed
# Calculated volume ... 378.1 Å³ per cell
# Density of states at the Fermi level ... 21.163 states/eV per cell
# Electronic total energy ... -8.664 eV per atom
# Energy relative to the lowest polymorph listed for this composition ... 0.160 eV per atom
data_MgTc5
_chemical_formula_sum 'Mg4 Tc20'
_symmetry_space_group_name_H-M 'F -4 3 m'
_symmetry_Int_Tables_number 216
_symmetry_space_group_name_Hall 'F -4 2 3'
_cell_length_a 7.231
_cell_length_b 7.231
_cell_length_c 7.231
_cell_angle_alpha 90.00
_cell_angle_beta 90.00
_cell_angle_gamma 90.00
loop_
_atom_site_label
_atom_site_type_symbol
_atom_site_fract_x
_atom_site_fract_y
_atom_site_fract_z
_atom_site_occupancy
Mg1 Mg 0.000 0.000 0.000 1
Tc1 Tc 0.126 0.126 0.374 1
Tc2 Tc 0.250 0.250 0.750 1



# 5
# Mg2TcTe | Alexandria | PBE | relaxed
# Calculated volume ... 520.0 Å³ per cell
# Density of states at the Fermi level ... 7.964 states/eV per cell
# Electronic total energy ... -3.849 eV per atom
# Uncorrected formation energy ... 0.325 eV per atom
data_Mg2TcTe
_chemical_formula_sum 'Mg8 Tc4 Te4'
_symmetry_space_group_name_H-M 'I 41/a m d'
_symmetry_Int_Tables_number 141
_cell_length_a 10.221
_cell_length_b 10.221
_cell_length_c 4.977
_cell_angle_alpha 90.00
_cell_angle_beta 90.00
_cell_angle_gamma 90.00
loop_
_symmetry_equiv_pos_as_xyz
'x,y,z'
'-x,-y,-z'
'-y+1/4,x+3/4,z+1/4'
'y+1/4,-x+3/4,-z+1/4'
'-x+1/2,-y,z+1/2'
'x+1/2,y,-z+1/2'
'y+1/4,-x+1/4,z+3/4'
'-y+1/4,x+1/4,-z+3/4'
'x,-y,-z'
'-x,y,z'
'-y+1/4,-x+1/4,-z+3/4'
'y+1/4,x+1/4,z+3/4'
'-x+1/2,y,-z+1/2'
'x+1/2,-y,z+1/2'
'y+1/4,x+3/4,-z+1/4'
'-y+1/4,-x+3/4,z+1/4'
'x+1/2,y+1/2,z+1/2'
'-x+1/2,-y+1/2,-z+1/2'
'-y+3/4,x+1/4,z+3/4'
'y+3/4,-x+1/4,-z+3/4'
'-x,-y+1/2,z'
'x,y+1/2,-z'
'y+3/4,-x+3/4,z+1/4'
'-y+3/4,x+3/4,-z+1/4'
'x+1/2,-y+1/2,-z+1/2'
'-x+1/2,y+1/2,z+1/2'
'-y+3/4,-x+3/4,-z+1/4'
'y+3/4,x+3/4,z+1/4'
'-x,y+1/2,-z'
'x,-y+1/2,z'
'y+3/4,x+1/4,-z+3/4'
'-y+3/4,-x+1/4,z+3/4'
loop_
_atom_site_label
_atom_site_type_symbol
_atom_site_fract_x
_atom_site_fract_y
_atom_site_fract_z
_atom_site_occupancy
Mg1 Mg 0.000 0.000 0.000 1
Tc1 Tc 0.000 0.250 0.875 1
Te1 Te 0.000 0.250 0.375 1



# 6
# MgTcTe2 | Alexandria | PBE | relaxed
# Calculated volume ... 182.2 Å³ per cell
# Density of states at the Fermi level ... 5.507 states/eV per cell
# Electronic total energy ... -4.549 eV per atom
# Uncorrected formation energy ... 0.012 eV per atom
data_MgTcTe2
_chemical_formula_sum 'Mg2 Tc2 Te4'
_symmetry_space_group_name_H-M 'I m m 2'
_symmetry_Int_Tables_number 44
_cell_length_a 3.334
_cell_length_b 4.114
_cell_length_c 13.286
_cell_angle_alpha 90.00
_cell_angle_beta 90.00
_cell_angle_gamma 90.00
loop_
_symmetry_equiv_pos_as_xyz
'x,y,z'
'-x,-y,z'
'-x,y,z'
'x,-y,z'
'x+1/2,y+1/2,z+1/2'
'-x+1/2,-y+1/2,z+1/2'
'-x+1/2,y+1/2,z+1/2'
'x+1/2,-y+1/2,z+1/2'
loop_
_atom_site_label
_atom_site_type_symbol
_atom_site_fract_x
_atom_site_fract_y
_atom_site_fract_z
_atom_site_occupancy
Mg1 Mg 0.000 0.000 0.000 1
Tc1 Tc 0.000 0.500 0.724 1
Te1 Te 0.000 0.000 0.385 1
Te2 Te 0.000 0.500 0.158 1



# 7
# MgTcTe2 | Alexandria | PBE | relaxed
# Calculated volume ... 317.3 Å³ per cell
# Density of states at the Fermi level ... 6.410 states/eV per cell
# Electronic total energy ... -4.476 eV per atom
# Uncorrected formation energy ... 0.085 eV per atom
data_MgTcTe2
_chemical_formula_sum 'Mg3 Tc3 Te6'
_symmetry_space_group_name_H-M 'R -3 m'
_symmetry_Int_Tables_number 166
_symmetry_space_group_name_Hall '-R 3 2"'
_cell_length_a 3.6067
_cell_length_b 3.6067
_cell_length_c 28.1697
_cell_angle_alpha 90.00
_cell_angle_beta 90.00
_cell_angle_gamma 120.00
loop_
_atom_site_label
_atom_site_type_symbol
_atom_site_fract_x
_atom_site_fract_y
_atom_site_fract_z
_atom_site_occupancy
Mg1 Mg 0.0000 0.0000 0.0000 1
Tc1 Tc 0.0000 0.0000 0.5000 1
Te1 Te 0.0000 0.0000 0.1052 1



# 8
# MgTcTe2 | Alexandria | PBE | relaxed
# Calculated volume ... 180.9 Å³ per cell
# Density of states at the Fermi level ... 7.368 states/eV per cell
# Electronic total energy ... -4.172 eV per atom
# Uncorrected formation energy ... 0.389 eV per atom
data_MgTcTe2
_chemical_formula_sum 'Mg2 Tc2 Te4'
_symmetry_space_group_name_H-M 'I -4 m 2'
_symmetry_Int_Tables_number 119
_symmetry_space_group_name_Hall 'I -4 -2'
_cell_length_a 4.067
_cell_length_b 4.067
_cell_length_c 10.936
_cell_angle_alpha 90.00
_cell_angle_beta 90.00
_cell_angle_gamma 90.00
loop_
_atom_site_label
_atom_site_type_symbol
_atom_site_fract_x
_atom_site_fract_y
_atom_site_fract_z
_atom_site_occupancy
Mg1 Mg 0.000 0.000 0.000 1
Tc1 Tc 0.000 0.500 0.750 1
Te1 Te 0.000 0.000 0.500 1
Te2 Te 0.000 0.500 0.250 1



# 9
# Mg2TcTe | Alexandria | PBE | relaxed
# Calculated volume ... 159.6 Å³ per cell
# Density of states at the Fermi level ... 5.935 states/eV per cell
# Electronic total energy ... -4.071 eV per atom
# Uncorrected formation energy ... 0.103 eV per atom
data_Mg2TcTe
_chemical_formula_sum 'Mg4 Tc2 Te2'
_symmetry_space_group_name_H-M 'C 1 m 1'
_symmetry_Int_Tables_number 8
_cell_length_a 9.625
_cell_length_b 3.323
_cell_length_c 5.095
_cell_angle_alpha 90.00
_cell_angle_beta 101.68
_cell_angle_gamma 90.00
loop_
_symmetry_equiv_pos_as_xyz
'x,y,z'
'x,-y,z'
'x+1/2,y+1/2,z'
'x+1/2,-y+1/2,z'
loop_
_atom_site_label
_atom_site_type_symbol
_atom_site_fract_x
_atom_site_fract_y
_atom_site_fract_z
_atom_site_occupancy
Mg1 Mg 0.000 0.000 0.000 1
Mg2 Mg 0.234 0.000 0.750 1
Tc1 Tc 0.490 0.000 0.515 1
Te1 Te 0.275 0.500 0.309 1



# 10
# Mg2TcTe | Alexandria | PBE | relaxed
# Calculated volume ... 249.1 Å³ per cell
# Density of states at the Fermi level ... 6.860 states/eV per cell
# Electronic total energy ... -3.903 eV per atom
# Uncorrected formation energy ... 0.272 eV per atom
data_Mg2TcTe
_chemical_formula_sum 'Mg6 Tc3 Te3'
_symmetry_space_group_name_H-M 'R -3 m'
_symmetry_Int_Tables_number 166
_symmetry_space_group_name_Hall '-R 3 2"'
_cell_length_a 3.2101
_cell_length_b 3.2101
_cell_length_c 27.9080
_cell_angle_alpha 90.00
_cell_angle_beta 90.00
_cell_angle_gamma 120.00
loop_
_atom_site_label
_atom_site_type_symbol
_atom_site_fract_x
_atom_site_fract_y
_atom_site_fract_z
_atom_site_occupancy
Mg1 Mg 0.0000 0.0000 0.2395 1
Tc1 Tc 0.0000 0.0000 0.5000 1
Te1 Te 0.0000 0.0000 0.0000 1



# 11
# MgTcTe2 | Alexandria | PBE | relaxed
# Calculated volume ... 97.9 Å³ per cell
# Density of states at the Fermi level ... 3.289 states/eV per cell
# Electronic total energy ... -4.514 eV per atom
# Uncorrected formation energy ... 0.047 eV per atom
data_MgTcTe2
_chemical_formula_sum 'Mg1 Tc1 Te2'
_symmetry_space_group_name_H-M 'P 1 m 1'
_symmetry_Int_Tables_number 6
_cell_length_a 4.299
_cell_length_b 5.430
_cell_length_c 4.313
_cell_angle_alpha 90.00
_cell_angle_beta 103.50
_cell_angle_gamma 90.00
loop_
_symmetry_equiv_pos_as_xyz
'x,y,z'
'x,-y,z'
loop_
_atom_site_label
_atom_site_type_symbol
_atom_site_fract_x
_atom_site_fract_y
_atom_site_fract_z
_atom_site_occupancy
Mg1 Mg 0.000 0.000 0.000 1
Tc1 Tc 0.257 0.500 0.740 1
Te1 Te 0.400 0.000 0.599 1
Te2 Te 0.858 0.500 0.139 1



# 12
# MgTcTe2 | Alexandria | PBE | relaxed
# Calculated volume ... 85.8 Å³ per cell
# Density of states at the Fermi level ... 2.640 states/eV per cell
# Electronic total energy ... -4.477 eV per atom
# Uncorrected formation energy ... 0.083 eV per atom
data_MgTcTe2
_chemical_formula_sum 'Mg1 Tc1 Te2'
_symmetry_space_group_name_H-M 'P 4/m m m'
_symmetry_Int_Tables_number 123
_symmetry_space_group_name_Hall '-P 4 2'
_cell_length_a 3.346
_cell_length_b 3.346
_cell_length_c 7.661
_cell_angle_alpha 90.00
_cell_angle_beta 90.00
_cell_angle_gamma 90.00
loop_
_atom_site_label
_atom_site_type_symbol
_atom_site_fract_x
_atom_site_fract_y
_atom_site_fract_z
_atom_site_occupancy
Mg1 Mg 0.000 0.000 0.000 1
Tc1 Tc 0.000 0.000 0.500 1
Te1 Te 0.500 0.500 0.284 1